No. 1
Material: TiBrCl2
Method: DFT, PBE-GGA
State: optimized geometry

Output
The volume is 24.553 A^3/atom. The calculation puts the relative energy among the computed polymorphs at 0.238 eV/atom. For the total energy, the calculation gives -71.42 eV/cell.

Cell: 8.6582 8.6582 5.2405 Å, 90.00 90.00 90.00°
Space group I-42d (No. 122)
Inequivalent atoms, fractional coordinates:
Ti (0.0000, 0.0000, 0.0000)
Br (0.0000, 0.0000, 0.5000)
Cl (0.1121, 0.2500, 0.1250)



No. 2
Material: Ti2Br4Cl
Method: DFT, PBE-GGA
State: optimized geometry

Output
The volume is 26.758 A^3/atom. For the total energy, the calculation gives -257.70 eV/cell.

Cell: 12.3281 17.7695 6.8401 Å, 90.00 90.00 90.00°
Space group Fdd2 (No. 43)
Inequivalent atoms, fractional coordinates:
Ti (0.1099, 0.1771, 0.0000)
Br (0.0209, 0.3029, 0.1559)
Br (0.0526, 0.4047, 0.5848)
Cl (0.0000, 0.0000, 0.5908)



No. 3
Material: TiBr2Cl
Method: DFT, PBE-GGA
State: optimized geometry

Output
The volume is 27.491 A^3/atom. The calculation puts the relative energy among the computed polymorphs at 0.190 eV/atom. For the total energy, the calculation gives -69.39 eV/cell.

Cell: 9.5210 9.5210 4.8523 Å, 90.00 90.00 90.00°
Space group I-42d (No. 122)
Inequivalent atoms, fractional coordinates:
Ti (0.0000, 0.0000, 0.0000)
Br (0.1002, 0.2500, 0.1250)
Cl (0.0000, 0.0000, 0.5000)



No. 4
Material: TiBr2Cl
Method: DFT, PBE-GGA
State: optimized geometry

Output
The volume is 33.524 A^3/atom. The calculation puts the relative energy among the computed polymorphs at 0.000 eV/atom. For the total energy, the calculation gives -36.21 eV/cell.

Cell: 13.4221 3.2520 7.1126 Å, 90.00 120.25 90.00°
Space group Cm (No. 8)
Inequivalent atoms, fractional coordinates:
Ti (0.0000, 0.0000, 0.0000)
Br (0.0050, 0.5000, 0.7239)
Br (0.1461, 0.5000, 0.2882)
Cl (0.3613, 0.0000, 0.9890)



No. 5
Material: TiBr3Cl
Method: DFT, PBE-GGA
State: optimized geometry

Output
The volume is 33.822 A^3/atom. The calculation puts the relative energy among the computed polymorphs at 0.000 eV/atom. For the total energy, the calculation gives -41.25 eV/cell.

Cell: 3.8085 10.1943 8.7116 Å, 90.00 90.15 90.00°
Space group P2_1/m (No. 11)
Inequivalent atoms, fractional coordinates:
Ti (0.0794, 0.2500, 0.2564)
Br (0.0043, 0.7500, 0.0181)
Br (0.4962, 0.5695, 0.7432)
Cl (0.0051, 0.7500, 0.4889)



No. 6
Material: TiBr2Cl
Method: DFT, PBE-GGA
State: optimized geometry

Output
The volume is 30.843 A^3/atom. The calculation puts the relative energy among the computed polymorphs at 1.179 eV/atom. For the total energy, the calculation gives -40.17 eV/cell.

Cell: 3.5892 3.5892 33.1744 Å, 90.00 90.00 120.00°
Space group R-3m (No. 166, hexagonal axes)
Inequivalent atoms, fractional coordinates:
Ti (0.0000, 0.0000, 0.0000)
Br (0.0000, 0.0000, 0.0698)
Cl (0.0000, 0.0000, 0.5000)



no.,formation energy from raw total energies (eV per atom)
1,-1.1487
2,-1.1264
3,-1.0651
4,-1.2548
5,-1.1734
6,-0.0754